Entry 1:
# LuPOsO, relaxed, DFT PBE
# - Energy above the lowest structure with this stoichiometry: 768 meV/atom
# - E: -7.639 eV/atom
data_LuPOsO
_chemical_formula_sum 'Lu2 P2 Os2 O2'
_cell_length_a 3.9975
_cell_length_b 5.7454
_cell_length_c 5.5946
_cell_angle_alpha 90.00
_cell_angle_beta 90.00
_cell_angle_gamma 90.00
_symmetry_space_group_name_H-M 'P 1'
_symmetry_Int_Tables_number 1
_symmetry_space_group_name_Hall 'P 1'
loop_
_atom_site_label
_atom_site_fract_x
_atom_site_fract_y
_atom_site_fract_z
Lu1 0.0000 0.6766 0.4245
Lu2 0.0000 0.3234 0.9245
O1 0.5000 0.7233 0.3382
O2 0.5000 0.2767 0.8382
Os1 0.5000 0.9970 0.1001
Os2 0.5000 0.0030 0.6001
P1 0.0000 0.1773 0.3912
P2 0.0000 0.8227 0.8912



Entry 2:
# Rb2Sb2Pd2O7, relaxed, DFT PBE
# - E: -5.057 eV/atom
data_Rb2Sb2Pd2O7
_chemical_formula_sum 'Rb2 Sb2 Pd2 O7'
_cell_length_a 6.1065
_cell_length_b 6.1065
_cell_length_c 8.0050
_cell_angle_alpha 90.00
_cell_angle_beta 90.00
_cell_angle_gamma 120.00
_symmetry_space_group_name_H-M 'P 1'
_symmetry_Int_Tables_number 1
_symmetry_space_group_name_Hall 'P 1'
loop_
_atom_site_label
_atom_site_fract_x
_atom_site_fract_y
_atom_site_fract_z
O1 0.0000 0.0000 0.0000
O2 0.1854 0.3708 0.3043
O3 0.1854 0.8146 0.3043
O4 0.6292 0.8146 0.3043
O5 0.3708 0.1854 0.6957
O6 0.8146 0.1854 0.6957
O7 0.8146 0.6292 0.6957
Pd1 0.0000 0.0000 0.2420
Pd2 0.0000 0.0000 0.7580
Rb1 0.6667 0.3333 0.3838
Rb2 0.3333 0.6667 0.6162
Sb1 0.3333 0.6667 0.1551
Sb2 0.6667 0.3333 0.8449



Entry 3:
# GdY2Co2B2N3, relaxed, DFT PBE
# - E: -8.206 eV/atom
data_GdY2Co2B2N3
_chemical_formula_sum 'Gd1 Y2 Co2 B2 N3'
_cell_length_a 10.2702
_cell_length_b 10.2702
_cell_length_c 10.2702
_cell_angle_alpha 160.48
_cell_angle_beta 160.48
_cell_angle_gamma 27.74
_symmetry_space_group_name_H-M 'P 1'
_symmetry_Int_Tables_number 1
_symmetry_space_group_name_Hall 'P 1'
loop_
_atom_site_label
_atom_site_fract_x
_atom_site_fract_y
_atom_site_fract_z
B1 0.1939 0.1939 0.0000
B2 0.8061 0.8061 0.0000
Co1 0.7500 0.2500 0.5000
Co2 0.2500 0.7500 0.5000
Gd1 0.0000 0.0000 0.0000
N1 0.1185 0.1185 0.0000
N2 0.5000 0.5000 0.0000
N3 0.8815 0.8815 0.0000
Y1 0.3758 0.3758 0.0000
Y2 0.6242 0.6242 0.0000



Entry 4:
# PrNdPu, relaxed, DFT PBE
# - Formation enthalpy at 0 K: 0.88 eV per atom
# - Energy above the lowest structure with this stoichiometry: 0 meV/atom
# - E: -7.010 eV/atom
data_PrNdPu
_chemical_formula_sum 'Pr1 Nd1 Pu1'
_cell_length_a 5.0868
_cell_length_b 5.0868
_cell_length_c 5.0868
_cell_angle_alpha 60.00
_cell_angle_beta 60.00
_cell_angle_gamma 60.00
_symmetry_space_group_name_H-M 'P 1'
_symmetry_Int_Tables_number 1
_symmetry_space_group_name_Hall 'P 1'
loop_
_atom_site_label
_atom_site_fract_x
_atom_site_fract_y
_atom_site_fract_z
Nd1 0.0000 0.0000 0.0000
Pr1 0.2500 0.2500 0.2500
Pu1 0.7500 0.7500 0.7500



Entry 5:
# HoAg3Pd4O12, relaxed, DFT PBE
# - E: -5.293 eV/atom
data_HoAg3Pd4O12
_chemical_formula_sum 'Ho1 Ag3 Pd4 O12'
_cell_length_a 6.6657
_cell_length_b 6.6657
_cell_length_c 6.6657
_cell_angle_alpha 109.47
_cell_angle_beta 109.47
_cell_angle_gamma 109.47
_symmetry_space_group_name_H-M 'P 1'
_symmetry_Int_Tables_number 1
_symmetry_space_group_name_Hall 'P 1'
loop_
_atom_site_label
_atom_site_fract_x
_atom_site_fract_y
_atom_site_fract_z
Ag1 0.5000 0.5000 0.0000
Ag2 0.5000 0.0000 0.5000
Ag3 0.0000 0.5000 0.5000
Ho1 0.0000 0.0000 0.0000
O1 0.2867 0.8317 0.1185
O2 0.4550 0.2867 0.1683
O3 0.8815 0.7133 0.1683
O4 0.8317 0.1185 0.2867
O5 0.1683 0.4550 0.2867
O6 0.2867 0.1683 0.4550
O7 0.7133 0.8317 0.5450
O8 0.8317 0.5450 0.7133
O9 0.1683 0.8815 0.7133
O10 0.1185 0.2867 0.8317
O11 0.5450 0.7133 0.8317
O12 0.7133 0.1683 0.8815
Pd1 0.5000 0.0000 0.0000
Pd2 0.0000 0.5000 0.0000
Pd3 0.0000 0.0000 0.5000
Pd4 0.5000 0.5000 0.5000



Entry 6:
# Rb2NiAsBr6, relaxed, DFT PBE
# - E: -3.079 eV/atom
data_Rb2NiAsBr6
_chemical_formula_sum 'Rb2 Ni1 As1 Br6'
_cell_length_a 7.4876
_cell_length_b 7.4876
_cell_length_c 7.4876
_cell_angle_alpha 60.00
_cell_angle_beta 60.00
_cell_angle_gamma 60.00
_symmetry_space_group_name_H-M 'P 1'
_symmetry_Int_Tables_number 1
_symmetry_space_group_name_Hall 'P 1'
loop_
_atom_site_label
_atom_site_fract_x
_atom_site_fract_y
_atom_site_fract_z
As1 0.0000 0.0000 0.0000
Br1 0.2560 0.7440 0.2560
Br2 0.7440 0.7440 0.2560
Br3 0.7440 0.2560 0.2560
Br4 0.7440 0.2560 0.7440
Br5 0.2560 0.2560 0.7440
Br6 0.2560 0.7440 0.7440
Ni1 0.5000 0.5000 0.5000
Rb1 0.2500 0.2500 0.2500
Rb2 0.7500 0.7500 0.7500



Entry 7:
# Rb2NaFeI6, relaxed, DFT PBE
# - E: -2.922 eV/atom
data_Rb2NaFeI6
_chemical_formula_sum 'Rb2 Na1 Fe1 I6'
_cell_length_a 8.3384
_cell_length_b 8.3384
_cell_length_c 8.3384
_cell_angle_alpha 60.00
_cell_angle_beta 60.00
_cell_angle_gamma 60.00
_symmetry_space_group_name_H-M 'P 1'
_symmetry_Int_Tables_number 1
_symmetry_space_group_name_Hall 'P 1'
loop_
_atom_site_label
_atom_site_fract_x
_atom_site_fract_y
_atom_site_fract_z
Fe1 0.0000 0.0000 0.0000
I1 0.7633 0.7633 0.2367
I2 0.7633 0.2367 0.2367
I3 0.2367 0.7633 0.2367
I4 0.2367 0.7633 0.7633
I5 0.7633 0.2367 0.7633
I6 0.2367 0.2367 0.7633
Na1 0.5000 0.5000 0.5000
Rb1 0.2500 0.2500 0.2500
Rb2 0.7500 0.7500 0.7500



Entry 8:
# Y2ZnNi2, relaxed, DFT PBE
# - Formation enthalpy at 0 K: 0.00 eV per atom
# - E: -5.071 eV/atom
data_Y2ZnNi2
_chemical_formula_sum 'Y2 Zn1 Ni2'
_cell_length_a 7.0148
_cell_length_b 7.0148
_cell_length_c 7.0148
_cell_angle_alpha 148.38
_cell_angle_beta 148.38
_cell_angle_gamma 45.33
_symmetry_space_group_name_H-M 'P 1'
_symmetry_Int_Tables_number 1
_symmetry_space_group_name_Hall 'P 1'
loop_
_atom_site_label
_atom_site_fract_x
_atom_site_fract_y
_atom_site_fract_z
Ni1 0.7500 0.2500 0.5000
Ni2 0.2500 0.7500 0.5000
Y1 0.3874 0.3874 0.0000
Y2 0.6126 0.6126 0.0000
Zn1 0.0000 0.0000 0.0000



Entry 9:
# NaMgNbS3, relaxed, DFT PBE
# - Energy above the lowest structure with this stoichiometry: 0 meV/atom
# - E: -5.323 eV/atom
data_NaMgNbS3
_chemical_formula_sum 'Na2 Mg2 Nb2 S6'
_cell_length_a 7.2345
_cell_length_b 3.6078
_cell_length_c 10.2158
_cell_angle_alpha 90.00
_cell_angle_beta 110.12
_cell_angle_gamma 90.00
_symmetry_space_group_name_H-M 'P 1'
_symmetry_Int_Tables_number 1
_symmetry_space_group_name_Hall 'P 1'
loop_
_atom_site_label
_atom_site_fract_x
_atom_site_fract_y
_atom_site_fract_z
Mg1 0.8927 0.2500 0.3798
Mg2 0.1073 0.7500 0.6202
Na1 0.2798 0.7500 0.3114
Na2 0.7202 0.2500 0.6886
Nb1 0.6339 0.7500 0.1027
Nb2 0.3661 0.2500 0.8973
S1 0.4211 0.2500 0.1467
S2 0.9017 0.2500 0.1488
S3 0.7489 0.7500 0.4648
S4 0.2511 0.2500 0.5352
S5 0.0983 0.7500 0.8512
S6 0.5789 0.7500 0.8533



Entry 10:
# Nd2CuSi4Ir, relaxed, DFT PBE
# - E: -6.250 eV/atom
data_Nd2CuSi4Ir
_chemical_formula_sum 'Nd2 Cu1 Si4 Ir1'
_cell_length_a 4.1623
_cell_length_b 8.6508
_cell_length_c 8.6508
_cell_angle_alpha 28.37
_cell_angle_beta 90.00
_cell_angle_gamma 90.00
_symmetry_space_group_name_H-M 'P 1'
_symmetry_Int_Tables_number 1
_symmetry_space_group_name_Hall 'P 1'
loop_
_atom_site_label
_atom_site_fract_x
_atom_site_fract_y
_atom_site_fract_z
Cu1 0.0000 0.1747 0.1747
Ir1 0.5000 0.8191 0.8191
Nd1 0.0000 0.3992 0.3992
Nd2 0.5000 0.6099 0.6099
Si1 0.0000 0.0360 0.0360
Si2 0.5000 0.2508 0.2508
Si3 0.0000 0.7492 0.7492
Si4 0.5000 0.9612 0.9612



Entry 11:
# PrHgAsO, relaxed, DFT PBE
# - E: -4.915 eV/atom
data_PrHgAsO
_chemical_formula_sum 'Pr2 Hg2 As2 O2'
_cell_length_a 4.5462
_cell_length_b 6.8109
_cell_length_c 6.3264
_cell_angle_alpha 90.00
_cell_angle_beta 90.00
_cell_angle_gamma 90.00
_symmetry_space_group_name_H-M 'P 1'
_symmetry_Int_Tables_number 1
_symmetry_space_group_name_Hall 'P 1'
loop_
_atom_site_label
_atom_site_fract_x
_atom_site_fract_y
_atom_site_fract_z
As1 0.0000 0.7938 0.4076
As2 0.0000 0.2062 0.9076
Hg1 0.5000 0.3474 0.0074
Hg2 0.5000 0.6526 0.5074
O1 0.5000 0.3083 0.4193
O2 0.5000 0.6917 0.9193
Pr1 0.0000 0.2373 0.4197
Pr2 0.0000 0.7627 0.9197



Entry 12:
# PrGaPO, relaxed, DFT PBE
# - Energy above the lowest structure with this stoichiometry: 0 meV/atom
# - E: -6.143 eV/atom
data_PrGaPO
_chemical_formula_sum 'Pr2 Ga2 P2 O2'
_cell_length_a 4.2801
_cell_length_b 4.2801
_cell_length_c 8.0361
_cell_angle_alpha 90.00
_cell_angle_beta 90.00
_cell_angle_gamma 90.00
_symmetry_space_group_name_H-M 'P 1'
_symmetry_Int_Tables_number 1
_symmetry_space_group_name_Hall 'P 1'
loop_
_atom_site_label
_atom_site_fract_x
_atom_site_fract_y
_atom_site_fract_z
Ga1 0.0000 0.0000 0.5000
Ga2 0.5000 0.5000 0.5000
O1 0.0000 0.0000 0.0000
O2 0.5000 0.5000 0.0000
P1 0.5000 0.0000 0.3435
P2 0.0000 0.5000 0.6565
Pr1 0.0000 0.5000 0.1353
Pr2 0.5000 0.0000 0.8647



Entry 13:
# SrAg2O2, relaxed, DFT PBE
# - E: -4.587 eV/atom
data_SrAg2O2
_chemical_formula_sum 'Sr2 Ag4 O4'
_cell_length_a 6.6395
_cell_length_b 6.6395
_cell_length_c 6.6395
_cell_angle_alpha 130.24
_cell_angle_beta 130.24
_cell_angle_gamma 73.02
_symmetry_space_group_name_H-M 'P 1'
_symmetry_Int_Tables_number 1
_symmetry_space_group_name_Hall 'P 1'
loop_
_atom_site_label
_atom_site_fract_x
_atom_site_fract_y
_atom_site_fract_z
Ag1 0.3750 0.6250 0.2500
Ag2 0.8750 0.6250 0.2500
Ag3 0.3750 0.1250 0.7500
Ag4 0.3750 0.6250 0.7500
O1 0.2259 0.2259 0.0000
O2 0.7741 0.7741 0.0000
O3 0.5241 0.0241 0.5000
O4 0.9759 0.4759 0.5000
Sr1 0.0000 0.0000 0.0000
Sr2 0.7500 0.2500 0.5000



Entry 14:
# NbI3O, relaxed, DFT PBE
# - E: -4.948 eV/atom
data_NbI3O
_chemical_formula_sum 'Nb4 I12 O4'
_cell_length_a 12.7983
_cell_length_b 12.7983
_cell_length_c 3.9176
_cell_angle_alpha 90.00
_cell_angle_beta 90.00
_cell_angle_gamma 90.00
_symmetry_space_group_name_H-M 'P 1'
_symmetry_Int_Tables_number 1
_symmetry_space_group_name_Hall 'P 1'
loop_
_atom_site_label
_atom_site_fract_x
_atom_site_fract_y
_atom_site_fract_z
I1 0.8954 0.1046 0.0000
I2 0.3330 0.1057 0.0000
I3 0.1057 0.3330 0.0000
I4 0.8943 0.6670 0.0000
I5 0.6670 0.8943 0.0000
I6 0.1046 0.8954 0.0000
I7 0.6057 0.1670 0.5000
I8 0.8330 0.3943 0.5000
I9 0.3954 0.3954 0.5000
I10 0.6046 0.6046 0.5000
I11 0.1670 0.6057 0.5000
I12 0.3943 0.8330 0.5000
Nb1 0.1246 0.1246 0.0000
Nb2 0.8754 0.8754 0.0000
Nb3 0.6246 0.3754 0.5000
Nb4 0.3754 0.6246 0.5000
O1 0.6191 0.3809 0.0000
O2 0.3809 0.6191 0.0000
O3 0.1191 0.1191 0.5000
O4 0.8809 0.8809 0.5000



Entry 15:
# Tb3PS2, relaxed, DFT PBE
# - Energy above the lowest structure with this stoichiometry: 16 meV/atom
# - E: -6.513 eV/atom
data_Tb3PS2
_chemical_formula_sum 'Tb3 P1 S2'
_cell_length_a 3.9671
_cell_length_b 3.9671
_cell_length_c 9.6694
_cell_angle_alpha 90.00
_cell_angle_beta 90.00
_cell_angle_gamma 120.00
_symmetry_space_group_name_H-M 'P 1'
_symmetry_Int_Tables_number 1
_symmetry_space_group_name_Hall 'P 1'
loop_
_atom_site_label
_atom_site_fract_x
_atom_site_fract_y
_atom_site_fract_z
P1 0.0000 0.0000 0.0000
S1 0.3333 0.6667 0.3362
S2 0.6667 0.3333 0.6638
Tb1 0.6667 0.3333 0.1636
Tb2 0.0000 0.0000 0.5000
Tb3 0.3333 0.6667 0.8364



Entry 16:
# Y2ZnIr, relaxed, DFT PBE
# - Formation enthalpy at 0 K: -0.33 eV per atom
# - E: -6.090 eV/atom
data_Y2ZnIr
_chemical_formula_sum 'Y2 Zn1 Ir1'
_cell_length_a 4.8121
_cell_length_b 4.8121
_cell_length_c 4.8121
_cell_angle_alpha 60.00
_cell_angle_beta 60.00
_cell_angle_gamma 60.00
_symmetry_space_group_name_H-M 'P 1'
_symmetry_Int_Tables_number 1
_symmetry_space_group_name_Hall 'P 1'
loop_
_atom_site_label
_atom_site_fract_x
_atom_site_fract_y
_atom_site_fract_z
Ir1 0.2500 0.2500 0.2500
Y1 0.0000 0.0000 0.0000
Y2 0.7500 0.7500 0.7500
Zn1 0.5000 0.5000 0.5000



Entry 17:
# Lu2Sn2Ir, relaxed, DFT PBE
# - E: -5.922 eV/atom
data_Lu2Sn2Ir
_chemical_formula_sum 'Lu4 Sn4 Ir2'
_cell_length_a 5.7941
_cell_length_b 5.7941
_cell_length_c 10.8500
_cell_angle_alpha 113.48
_cell_angle_beta 113.48
_cell_angle_gamma 44.98
_symmetry_space_group_name_H-M 'P 1'
_symmetry_Int_Tables_number 1
_symmetry_space_group_name_Hall 'P 1'
loop_
_atom_site_label
_atom_site_fract_x
_atom_site_fract_y
_atom_site_fract_z
Ir1 0.7212 0.7212 0.3213
Ir2 0.2788 0.2788 0.6787
Lu1 0.1843 0.1843 0.1319
Lu2 0.9949 0.9949 0.3261
Lu3 0.0051 0.0051 0.6739
Lu4 0.8157 0.8157 0.8681
Sn1 0.4623 0.4623 0.1130
Sn2 0.3459 0.3459 0.4543
Sn3 0.6541 0.6541 0.5457
Sn4 0.5377 0.5377 0.8870



Entry 18:
# Nb3GaB4, relaxed, DFT PBE
# - E: -8.084 eV/atom
data_Nb3GaB4
_chemical_formula_sum 'Nb3 Ga1 B4'
_cell_length_a 3.1249
_cell_length_b 3.3191
_cell_length_c 8.5476
_cell_angle_alpha 90.00
_cell_angle_beta 90.00
_cell_angle_gamma 90.00
_symmetry_space_group_name_H-M 'P 1'
_symmetry_Int_Tables_number 1
_symmetry_space_group_name_Hall 'P 1'
loop_
_atom_site_label
_atom_site_fract_x
_atom_site_fract_y
_atom_site_fract_z
B1 0.0000 0.0000 0.2863
B2 0.5000 0.0000 0.3909
B3 0.5000 0.0000 0.6091
B4 0.0000 0.0000 0.7137
Ga1 0.0000 0.0000 0.0000
Nb1 0.5000 0.5000 0.1913
Nb2 0.0000 0.5000 0.5000
Nb3 0.5000 0.5000 0.8087



Entry 19:
# TaAlCo, relaxed, DFT PBE
# - E: -7.781 eV/atom
data_TaAlCo
_chemical_formula_sum 'Ta1 Al1 Co1'
_cell_length_a 4.0616
_cell_length_b 4.0616
_cell_length_c 4.0616
_cell_angle_alpha 60.00
_cell_angle_beta 60.00
_cell_angle_gamma 60.00
_symmetry_space_group_name_H-M 'P 1'
_symmetry_Int_Tables_number 1
_symmetry_space_group_name_Hall 'P 1'
loop_
_atom_site_label
_atom_site_fract_x
_atom_site_fract_y
_atom_site_fract_z
Al1 0.2500 0.2500 0.2500
Co1 0.0000 0.0000 0.0000
Ta1 0.7500 0.7500 0.7500



Entry 20:
# Ba3Ni3Sn2, relaxed, DFT PBE
# - E: -3.677 eV/atom
data_Ba3Ni3Sn2
_chemical_formula_sum 'Ba3 Ni3 Sn2'
_cell_length_a 7.7263
_cell_length_b 7.7263
_cell_length_c 4.5570
_cell_angle_alpha 90.00
_cell_angle_beta 90.00
_cell_angle_gamma 120.00
_symmetry_space_group_name_H-M 'P 1'
_symmetry_Int_Tables_number 1
_symmetry_space_group_name_Hall 'P 1'
loop_
_atom_site_label
_atom_site_fract_x
_atom_site_fract_y
_atom_site_fract_z
Ba1 0.0221 0.5110 0.0000
Ba2 0.4889 0.5110 0.0000
Ba3 0.4890 0.9779 0.0000
Ni1 0.1051 0.2103 0.5000
Ni2 0.1051 0.8949 0.5000
Ni3 0.7897 0.8949 0.5000
Sn1 0.0000 0.0000 0.0000
Sn2 0.6667 0.3333 0.5000